CaNiH2 at its PBEsol-relaxed geometry, computed with meta-GGA SCAN.

Summary:
As for the space group: Fm-3m, No. 225. The total energy comes out at -31.899 eV for the cell shown.

Cell lengths 3.899, 3.899, 3.899 Å; angles 60.00, 60.00, 60.00 degrees
Site moments in Bohr magnetons follow the coordinates.
Fractional coordinates of all 4 atoms:
Ni (0.500, 0.500, 0.500)  0.81
H (0.750, 0.750, 0.750)  0.05
H (0.250, 0.250, 0.250)  0.05
Ca (0.000, 0.000, 0.000)  -0.03

---

Ir2Au at its PBEsol-relaxed geometry, computed with meta-GGA SCAN.

Summary:
The value obtained for the formation energy is 0.36 eV per atom. As for the space group: C2/m, No. 12. As for the energy relative to the lowest polymorph listed for this composition: 38 meV/atom.

Cell lengths 2.746, 5.576, 6.371 Å; angles 104.93, 90.00, 104.26 degrees
Fractional coordinates of all 6 atoms:
Au (0.021, 0.041, 0.792)
Au (0.979, 0.959, 0.208)
Ir (0.655, 0.310, 0.536)
Ir (0.297, 0.595, 0.865)
Ir (0.703, 0.405, 0.135)
Ir (0.345, 0.690, 0.464)

---

HgRuSe2 at its PBEsol-relaxed geometry, computed with meta-GGA SCAN.

Summary:
The formation energy without anion corrections is -0.02 eV per atom. As for the space group: P2/m, No. 10.

Cell lengths 3.153, 5.164, 5.449 Å; angles 112.25, 90.00, 90.00 degrees
Fractional coordinates of all 4 atoms:
Se (0.000, 0.888, 0.167)
Se (0.000, 0.112, 0.833)
Hg (0.500, 0.500, 0.500)
Ru (0.500, 0.500, 0.000)

---

LiMgPb at its PBEsol-relaxed geometry, computed with meta-GGA SCAN.

Summary:
The value obtained for the formation energy is -0.30 eV per atom. As for the space group: I4mm, No. 107. As for the energy relative to the lowest polymorph listed for this composition: 10 meV/atom.

Cell lengths 3.897, 3.897, 5.175 Å; angles 112.12, 112.12, 90.00 degrees
Fractional coordinates of all 3 atoms:
Li (0.999, 0.999, 0.998)
Pb (0.331, 0.331, 0.662)
Mg (0.670, 0.670, 0.340)

---

UB2Ir3 at its PBEsol-relaxed geometry, computed with meta-GGA SCAN.

Summary:
The value obtained for the formation energy is -0.54 eV per atom. As for the space group: P6/mmm, No. 191.

Cell lengths 3.153, 5.387, 5.387 Å; angles 120.00, 90.00, 90.00 degrees
Site moments in Bohr magnetons follow the coordinates.
Fractional coordinates of all 6 atoms:
Ir (0.500, 0.000, 0.500)  -0.07
Ir (0.500, 0.500, 0.500)  -0.07
Ir (0.500, 0.500, 0.000)  -0.07
B (0.000, 0.667, 0.333)  -0.02
B (0.000, 0.333, 0.667)  -0.02
U (0.000, 0.000, 0.000)  2.13

---

CaPbBr at its PBEsol-relaxed geometry, computed with meta-GGA SCAN.

Summary:
The formation energy without anion corrections is -0.98 eV per atom. As for the space group: P3m1, No. 156.

Cell lengths 3.743, 3.743, 7.935 Å; angles 90.00, 90.00, 120.00 degrees
Site moments in Bohr magnetons follow the coordinates.
Fractional coordinates of all 3 atoms:
Br (0.000, 0.000, 0.932)  0.00
Ca (0.333, 0.667, 0.704)  0.03
Pb (0.667, 0.333, 0.365)  0.06

---

ZnCrMo3 at its PBEsol-relaxed geometry, computed with meta-GGA SCAN.

Summary:
The value obtained for the formation energy is 1.79 eV per atom. As for the space group: Pm-3m, No. 221.

Cell lengths 4.487, 4.487, 4.487 Å; angles 90.00, 90.00, 90.00 degrees
Site moments in Bohr magnetons follow the coordinates.
Fractional coordinates of all 5 atoms:
Zn (0.000, 0.000, 0.000)  -0.01
Mo (0.000, 0.500, 0.000)  -0.33
Mo (0.000, 0.000, 0.500)  -0.33
Mo (0.500, 0.000, 0.000)  -0.33
Cr (0.500, 0.500, 0.500)  3.67

---

ZrNbN2F at its PBEsol-relaxed geometry, computed with meta-GGA SCAN.

Summary:
The formation energy without anion corrections is -0.88 eV per atom. As for the space group: P4/mmm, No. 123.

Cell lengths 3.881, 4.085, 4.085 Å; angles 90.00, 90.00, 90.00 degrees
Site moments in Bohr magnetons follow the coordinates.
Fractional coordinates of all 5 atoms:
Zr (0.500, 0.500, 0.500)  0.80
N (0.000, 0.500, 0.000)  -0.03
N (0.000, 0.000, 0.500)  -0.03
F (0.500, 0.000, 0.000)  0.06
Nb (0.000, 0.000, 0.000)  0.12

---

| no. | spin magnetization (μB/cell) |
| --- | --- |
| 1 | 0.9 |
| 2 | 0.0 |
| 3 | 0.0 |
| 4 | 0.0 |
| 5 | 2.1 |
| 6 | 0.3 |
| 7 | 3.1 |
| 8 | 1.2 |